1.
Computed, not measured: a geometry-optimized V4AsH structure at the PBE-GGA level of DFT.

a b c (Å): 11.204 4.596 5.780
angles (deg): 90.00 107.45 90.00
Space group C2/c (No. 15)
Symmetry-distinct sites (fractional):
V 0.090 0.114 0.444
V 0.194 0.397 0.155
As 0.000 0.376 0.750
H 0.250 0.250 0.500

## Properties
VASP energy: -7.61 eV per atom
Fermi-level density of states: 15.59 states/eV/cell
Magnetic moment: 0.000 μB/atom

***

2.
Computed, not measured: a geometry-optimized VAsH structure at the PBE-GGA level of DFT.

a b c (Å): 3.3244 3.3244 3.3551
angles (deg): 90.00 90.00 120.00
Space group P-6m2 (No. 187)
Symmetry-distinct sites (fractional):
V 0.0000 0.0000 0.0000
As 0.6667 0.3333 0.5000
H 0.3333 0.6667 0.0000

## Properties
ΔE to the lowest computed polymorph: 0.000 eV per atom
VASP energy: -5.98 eV per atom
Fermi-level density of states: 1.93 states/eV/cell
Magnetic moment: 0.000 μB/atom